Li5Co3Sn2O10 | GGA+U | relaxed

a b c (Å): 5.318 6.216 7.897
angles (deg): 87.83 108.03 123.37
Last column: magnetic moment on the atom in μB.
Fractional coordinates of all 20 atoms:
O: 0.398 0.733 0.242  0.02
O: 0.756 0.197 0.118  0.01
O: 0.602 0.267 0.758  0.02
O: 0.939 0.746 0.477  0.00
O: 0.244 0.803 0.882  0.01
O: 0.061 0.254 0.523  0.00
O: 0.837 0.771 0.065  0.00
O: 0.625 0.811 0.682  -0.01
O: 0.163 0.229 0.935  0.00
O: 0.375 0.189 0.318  -0.01
Co: 0.000 0.500 0.000  2.65
Co: 0.305 0.991 0.103  0.64
Co: 0.695 0.009 0.897  0.64
Li: 0.274 0.737 0.453  0.00
Li: 0.487 0.537 0.831  0.00
Li: 0.726 0.263 0.547  0.00
Li: 0.513 0.463 0.169  0.00
Li: 0.500 0.500 0.500  0.00
Sn: 0.897 0.992 0.294  0.01
Sn: 0.103 0.008 0.706  0.01

For the electronic total energy, the calculation gives -5.598 eV per atom. The size of the total moment comes out at 4.00 μB per cell. Its space group is P-1, No. 2.